No. 1
Computed, not measured: a PBEsol-optimized structure of GaGe3Rh at the SCAN level of DFT.

Cell lengths 4.730, 4.730, 4.730 Å; angles 90.00, 90.00, 90.00 degrees
Element x y z (fractional)
Ge1 0.000 0.000 0.500
Ge2 0.500 0.000 0.000
Ge3 0.000 0.500 0.000
Ga1 0.500 0.500 0.500
Rh1 0.000 0.000 0.000

Values from the calculation:
- raw total energy (eV per atom) = -21.2203
- space group = Pm-3m, No. 221
- energy of formation from the pure elements (meV/atom) = 256
- volume (Å³/atom) = 21.17

***

No. 2
Computed, not measured: a PBEsol-optimized structure of HfP2OsS at the SCAN level of DFT.

Cell lengths 4.425, 4.425, 4.847 Å; angles 90.00, 90.00, 90.00 degrees
Element x y z (fractional)
S1 0.000 0.000 0.500
Hf1 0.500 0.500 0.500
P1 0.500 0.000 0.000
P2 0.000 0.500 0.000
Os1 0.000 0.000 0.000

Values from the calculation:
- raw total energy (eV per atom) = -32.3930
- energy relative to the elements, uncorrected (eV per formula unit) = 3.0
- space group = P4/mmm, No. 123
- volume (Å³/atom) = 18.98

***

No. 3
Computed, not measured: a PBEsol-optimized structure of BaSrI4 at the SCAN level of DFT.

Cell lengths 8.307, 8.619, 9.035 Å; angles 112.35, 111.05, 102.15 degrees
Element x y z (fractional)
I1 0.381 0.943 0.639
I2 0.004 0.745 0.120
I3 0.243 0.304 0.361
I4 0.384 0.625 0.880
I5 0.757 0.696 0.639
I6 0.996 0.255 0.880
I7 0.619 0.057 0.361
I8 0.616 0.375 0.120
Ba1 0.769 0.019 0.039
Ba2 0.231 0.981 0.961
Sr1 0.380 0.630 0.261
Sr2 0.620 0.370 0.739

Values from the calculation:
- raw total energy (eV per atom) = -36.6763
- energy relative to the elements, uncorrected (eV per formula unit) = -11.3
- space group = C2/c, No. 15
- volume (Å³/atom) = 42.60

***

No. 4
Computed, not measured: a PBEsol-optimized structure of MnZn2Fe at the SCAN level of DFT.

Cell lengths 2.597, 2.597, 6.960 Å; angles 90.00, 90.00, 90.00 degrees
Each line ends with the local moment (μB).
Element x y z (fractional)
Zn1 0.000 0.000 0.982  0.06
Zn2 0.500 0.500 0.270  -0.04
Fe1 0.000 0.000 0.525  1.80
Mn1 0.500 0.500 0.722  -2.22

Values from the calculation:
- raw total energy (eV per atom) = -15.7897
- E above lowest polymorph (meV/atom) = 192
- space group = P4mm, No. 99
- energy of formation from the pure elements (meV/atom) = 64
- volume (Å³/atom) = 11.74

***

No. 5
Computed, not measured: a PBEsol-optimized structure of RbSb2PbI at the SCAN level of DFT.

Cell lengths 5.905, 5.905, 6.140 Å; angles 90.00, 90.00, 90.00 degrees
Each line ends with the local moment (μB).
Element x y z (fractional)
Sb1 0.500 0.000 0.000  0.27
Sb2 0.000 0.500 0.000  0.27
Pb1 0.500 0.500 0.500  -0.11
Rb1 0.000 0.000 0.000  0.02
I1 0.000 0.000 0.500  0.13

Values from the calculation:
- raw total energy (eV per atom) = -40.5887
- energy relative to the elements, uncorrected (eV per formula unit) = 4.8
- space group = P4/mmm, No. 123
- volume (Å³/atom) = 42.82

***

No. 6
Computed, not measured: a PBEsol-optimized structure of NaYZn2Ga at the SCAN level of DFT.

Cell lengths 4.764, 4.764, 5.390 Å; angles 90.00, 90.00, 90.00 degrees
Each line ends with the local moment (μB).
Element x y z (fractional)
Y1 0.000 0.000 0.500  -0.18
Zn1 0.500 0.000 0.000  -0.01
Zn2 0.000 0.500 0.000  -0.01
Ga1 0.000 0.000 0.000  -0.02
Na1 0.500 0.500 0.500  0.00

Values from the calculation:
- raw total energy (eV per atom) = -14.9046
- space group = P4/mmm, No. 123
- energy of formation from the pure elements (meV/atom) = 182
- volume (Å³/atom) = 24.46

***

No. 7
Computed, not measured: a PBEsol-optimized structure of Re5Pt at the SCAN level of DFT.

Cell lengths 2.755, 4.402, 7.341 Å; angles 90.00, 100.81, 90.00 degrees
Element x y z (fractional)
Re1 0.777 0.500 0.554
Re2 0.334 0.000 0.668
Re3 0.669 0.000 0.337
Re4 0.443 0.500 0.887
Re5 0.112 0.500 0.224
Pt1 0.999 0.000 0.997

Values from the calculation:
- raw total energy (eV per atom) = -71.0510
- space group = Amm2, No. 38
- energy of formation from the pure elements (meV/atom) = -104
- volume (Å³/atom) = 14.57

***

No. 8
Computed, not measured: a PBEsol-optimized structure of Al3Cr4 at the SCAN level of DFT.

Cell lengths 2.951, 2.951, 10.293 Å; angles 98.24, 98.24, 90.00 degrees
Each line ends with the local moment (μB).
Element x y z (fractional)
Cr1 0.575 0.575 0.150  1.91
Cr2 0.134 0.134 0.268  -1.46
Cr3 0.866 0.866 0.732  -1.46
Cr4 0.425 0.425 0.850  1.91
Al1 0.293 0.293 0.586  0.03
Al2 0.707 0.707 0.414  0.03
Al3 0.000 0.000 0.000  -0.05

Values from the calculation:
- raw total energy (eV per atom) = -14.0539
- space group = I4/mmm, No. 139
- energy of formation from the pure elements (meV/atom) = -226
- volume (Å³/atom) = 12.54

***

No. 9
Computed, not measured: a PBEsol-optimized structure of TcBN3 at the SCAN level of DFT.

Cell lengths 3.826, 3.826, 3.826 Å; angles 90.00, 90.00, 90.00 degrees
Element x y z (fractional)
N1 0.500 0.000 0.000
N2 0.000 0.500 0.000
N3 0.000 0.000 0.500
Tc1 0.000 0.000 0.000
B1 0.500 0.500 0.500

Values from the calculation:
- raw total energy (eV per atom) = -12.3256
- energy relative to the elements, uncorrected (eV per formula unit) = 8.7
- space group = Pm-3m, No. 221
- volume (Å³/atom) = 11.20

***

No. 10
Computed, not measured: a PBEsol-optimized structure of PrH at the SCAN level of DFT.

Cell lengths 3.866, 3.866, 5.947 Å; angles 90.00, 90.00, 120.00 degrees
Element x y z (fractional)
H1 0.333 0.667 0.512
H2 0.667 0.333 0.012
Pr1 0.667 0.333 0.613
Pr2 0.333 0.667 0.113

Values from the calculation:
- raw total energy (eV per atom) = -23.8510
- space group = P6_3mc, No. 186
- volume (Å³/atom) = 19.24

***

No. 11
Computed, not measured: a PBEsol-optimized structure of RbTl2Sb2 at the SCAN level of DFT.

Cell lengths 5.169, 5.169, 7.444 Å; angles 110.32, 110.32, 90.00 degrees
Element x y z (fractional)
Tl1 0.250 0.750 0.500
Tl2 0.750 0.250 0.500
Rb1 0.000 0.000 0.000
Sb1 0.616 0.616 0.232
Sb2 0.384 0.384 0.768

Values from the calculation:
- raw total energy (eV per atom) = -48.2262
- E above lowest polymorph (meV/atom) = 0
- energy relative to the elements, uncorrected (eV per formula unit) = -1.2
- space group = I4/mmm, No. 139
- volume (Å³/atom) = 34.65

***

No. 12
Computed, not measured: a PBEsol-optimized structure of Sc2RuCl at the SCAN level of DFT.

Cell lengths 4.593, 4.593, 4.593 Å; angles 60.00, 60.00, 60.00 degrees
Element x y z (fractional)
Sc1 0.750 0.750 0.750
Sc2 0.250 0.250 0.250
Cl1 0.500 0.500 0.500
Ru1 0.000 0.000 0.000

Values from the calculation:
- raw total energy (eV per atom) = -18.2351
- E above lowest polymorph (meV/atom) = 741
- energy relative to the elements, uncorrected (eV per formula unit) = -1.7
- space group = Fm-3m, No. 225
- volume (Å³/atom) = 17.13